Record 1
A relaxed CrCuS2 crystal, computed with PBE-GGA.

The structure in POSCAR format:
```
CrCuS2
1.0
-2.644 2.644 5.315
2.644 -2.644 5.315
2.644 2.644 -5.315
Cr Cu S
2 2 4
Direct
0.000 0.000 0.000
0.750 0.250 0.500
0.250 0.750 0.500
0.500 0.500 0.000
0.123 0.625 0.998
0.375 0.373 0.498
0.627 0.125 0.002
0.875 0.877 0.502
```

* VASP energy: -5.9060 eV per atom
* magnetic moment: 6.00 Bohr magnetons per cell
* formation energy (no corrections): -40 kJ/mol of atoms
* volume: 18.58 A^3/atom

Record 2
A relaxed Cr2CuS4 crystal, computed with PBE-GGA.

The structure in POSCAR format:
```
Cr2CuS4
1.0
6.253 -1.677 0.000
6.253 1.677 0.000
-2.484 0.000 5.108
Cr Cu S
2 1 4
Direct
0.244 0.244 0.191
0.756 0.756 0.809
0.500 0.500 0.500
0.147 0.147 0.486
0.383 0.383 0.040
0.617 0.617 0.960
0.853 0.853 0.514
```

* VASP energy: -6.1962 eV per atom
* magnetic moment: 2.48 Bohr magnetons per cell
* formation energy (no corrections): -49 kJ/mol of atoms
* volume: 15.31 A^3/atom

Record 3
A relaxed Cr2CuS4 crystal, computed with PBE-GGA.

The structure in POSCAR format:
```
Cr2CuS4
1.0
11.195 0.000 0.000
0.000 3.444 0.000
0.000 0.000 11.984
Cr Cu S
8 4 16
Direct
0.110 0.250 0.074
0.145 0.250 0.703
0.355 0.750 0.203
0.390 0.750 0.574
0.610 0.250 0.426
0.645 0.250 0.797
0.855 0.750 0.297
0.890 0.750 0.926
0.114 0.750 0.451
0.386 0.250 0.951
0.614 0.750 0.049
0.886 0.250 0.549
0.017 0.750 0.626
0.030 0.250 0.882
0.221 0.250 0.244
0.247 0.250 0.526
0.253 0.750 0.026
0.279 0.750 0.744
0.470 0.750 0.382
0.483 0.250 0.126
0.517 0.750 0.874
0.530 0.250 0.618
0.721 0.250 0.256
0.747 0.250 0.974
0.753 0.750 0.474
0.779 0.750 0.756
0.970 0.750 0.118
0.983 0.250 0.374
```

* VASP energy: -6.1329 eV per atom
* magnetic moment: 20.19 Bohr magnetons per cell
* formation energy (no corrections): -42 kJ/mol of atoms
* volume: 16.50 A^3/atom

Record 4
A relaxed Cr2CuS4 crystal, computed with PBE-GGA.

The structure in POSCAR format:
```
Cr2CuS4
1.0
12.006 0.000 0.000
0.000 6.936 0.000
0.000 0.000 5.642
Cr Cu S
8 4 16
Direct
0.000 0.000 0.000
0.000 0.500 0.000
0.241 0.250 0.488
0.259 0.750 0.988
0.500 0.000 0.500
0.500 0.500 0.500
0.741 0.250 0.012
0.759 0.750 0.512
0.091 0.750 0.596
0.409 0.250 0.096
0.591 0.750 0.904
0.909 0.250 0.404
0.082 0.250 0.242
0.089 0.750 0.205
0.170 0.008 0.769
0.170 0.492 0.769
0.330 0.508 0.269
0.330 0.992 0.269
0.411 0.250 0.705
0.418 0.750 0.742
0.582 0.250 0.258
0.589 0.750 0.295
0.670 0.008 0.731
0.670 0.492 0.731
0.830 0.508 0.231
0.830 0.992 0.231
0.911 0.250 0.795
0.918 0.750 0.758
```

* VASP energy: -6.2310 eV per atom
* magnetic moment: 20.02 Bohr magnetons per cell
* formation energy (no corrections): -52 kJ/mol of atoms
* volume: 16.78 A^3/atom

Record 5
A relaxed Cr2CuS4 crystal, computed with PBE-GGA.

The structure in POSCAR format:
```
Cr2CuS4
1.0
0.000 4.922 4.922
4.922 0.000 4.922
4.922 4.922 0.000
Cr Cu S
4 2 8
Direct
0.000 0.000 0.000
0.000 0.000 0.500
0.000 0.500 0.000
0.500 0.000 0.000
0.375 0.375 0.375
0.625 0.625 0.625
0.226 0.758 0.758
0.242 0.242 0.242
0.242 0.242 0.774
0.242 0.774 0.242
0.758 0.226 0.758
0.758 0.758 0.226
0.758 0.758 0.758
0.774 0.242 0.242
```

* VASP energy: -6.3287 eV per atom
* magnetic moment: 10.09 Bohr magnetons per cell
* formation energy (no corrections): -61 kJ/mol of atoms
* volume: 17.03 A^3/atom

Record 6
A relaxed Cr2CuS4 crystal, computed with PBE-GGA.

The structure in POSCAR format:
```
Cr2CuS4
1.0
5.669 0.000 0.000
0.000 3.472 0.000
-0.277 0.000 5.904
Cr Cu S
2 1 4
Direct
0.000 0.000 0.000
0.000 0.500 0.500
0.500 0.000 0.000
0.231 0.000 0.674
0.240 0.500 0.175
0.760 0.500 0.825
0.769 0.000 0.326
```

* VASP energy: -6.2197 eV per atom
* magnetic moment: 5.07 Bohr magnetons per cell
* formation energy (no corrections): -51 kJ/mol of atoms
* volume: 16.60 A^3/atom

Record 7
A relaxed Cr2CuS4 crystal, computed with PBE-GGA.

The structure in POSCAR format:
```
Cr2CuS4
1.0
11.021 0.000 0.000
0.000 3.468 0.000
0.000 0.000 12.782
Cr Cu S
8 4 16
Direct
0.063 0.250 0.115
0.078 0.250 0.609
0.422 0.750 0.109
0.437 0.750 0.615
0.563 0.250 0.385
0.578 0.250 0.891
0.922 0.750 0.391
0.937 0.750 0.885
0.227 0.750 0.975
0.273 0.250 0.475
0.727 0.750 0.525
0.773 0.250 0.025
0.026 0.750 0.716
0.089 0.250 0.928
0.116 0.750 0.475
0.202 0.750 0.156
0.298 0.250 0.656
0.384 0.250 0.975
0.411 0.750 0.428
0.474 0.250 0.216
0.526 0.750 0.784
0.589 0.250 0.572
0.616 0.750 0.025
0.702 0.750 0.344
0.798 0.250 0.844
0.884 0.250 0.525
0.911 0.750 0.072
0.974 0.250 0.284
```

* VASP energy: -6.1539 eV per atom
* magnetic moment: 20.07 Bohr magnetons per cell
* formation energy (no corrections): -44 kJ/mol of atoms
* volume: 17.45 A^3/atom

Record 8
A relaxed Cr2CuS crystal, computed with PBE-GGA.

The structure in POSCAR format:
```
Cr2CuS
1.0
-3.253 3.253 2.522
3.253 -3.253 2.522
3.253 3.253 -2.522
Cr Cu S
4 2 2
Direct
0.080 0.625 0.955
0.375 0.330 0.455
0.670 0.125 0.045
0.875 0.920 0.545
0.250 0.750 0.500
0.500 0.500 0.000
0.000 0.000 0.000
0.750 0.250 0.500
```

* VASP energy: -6.5097 eV per atom
* magnetic moment: 6.03 Bohr magnetons per cell
* formation energy (no corrections): 35 kJ/mol of atoms
* volume: 13.34 A^3/atom

Which formula does entry 8 have? Cr2CuS

volume of number 1 (CrCuS2)? 18.58 A^3/atom

The lowest volume belongs to which entry? Cr2CuS